An optimized crystal structure of Ca2VO4, computed with GGA+U.

abc: 5.750 5.897 6.441
angles: 90.00 107.81 90.00
Atoms (fractional coordinates):
Ca 0.654 0.750 0.028
Ca 0.346 0.250 0.972
Ca 0.265 0.250 0.448
Ca 0.735 0.750 0.552
V 0.198 0.750 0.181
V 0.802 0.250 0.819
O 0.444 0.524 0.244
O 0.031 0.750 0.903
O 0.969 0.250 0.097
O 0.444 0.976 0.244
O 0.994 0.250 0.650
O 0.556 0.024 0.756
O 0.556 0.476 0.756
O 0.006 0.750 0.350

Output
Total DFT energy (no corrections) in eV for the cell shown: -98.0
Energy above the lowest structure with this stoichiometry in meV/atom: 74